The following is a GGA-PBE calculation of crystalline ErTm2MgBi4 at its relaxed geometry, from the Alexandria database.

The space group is P2/m (No. 10) and the conventional cell measures 7.700, 4.399 and 7.710 Å, with angles of 90.00, 109.62 and 90.00 degrees. Symmetry generates all atoms from Er at (0.000, 0.000, 0.000), Tm at (0.000, 0.500, 0.500), Tm at (0.500, 0.000, 0.500), Mg at (0.500, 0.500, 0.000), Bi at (0.252, 0.500, 0.250) and Bi at (0.255, 0.000, 0.754).

The value obtained for the total energy is -35.2 eV for the cell shown. For the total moment, the calculation gives 0.00 μB/atom. The formation enthalpy at 0 K comes out at -0.57 eV per atom.